1.
The following is a DFT calculation (PBE) of crystalline MoIr3Os at its relaxed geometry.

Unit cell a=4.6481 b=4.6481 c=4.6481 alpha=90.00 beta=90.00 gamma=90.00
Each line ends with the local moment (μB).
Sites, in units of the cell vectors:
Os (0.5000, 0.5000, 0.5000)  1.98
Ir (0.0000, 0.5000, 0.0000)  0.13
Ir (0.5000, 0.0000, 0.0000)  0.30
Ir (0.0000, 0.0000, 0.5000)  0.05
Mo (0.0000, 0.0000, 0.0000)  0.05

Computed properties:
**N(E_F)**: 1.132 states/eV per atom
**E_tot**: -37.38 eV per cell
**Calculated volume**: 20.085 Å³/atom
**ΔH_f (0 K)**: 2253.7 meV/atom
**Energy above the lowest structure with this stoichiometry**: 46.80 kcal/mol of atoms
**ρ**: 14.27 g/cm3
**Spin magnetization**: 2.683 Bohr magnetons per cell

=====

2.
The following is a DFT calculation (PBE) of crystalline Mo3IrOs3 at its relaxed geometry.

Unit cell a=6.1091 b=6.1091 c=5.9378 alpha=90.00 beta=90.00 gamma=90.74
Sites, in units of the cell vectors:
Mo (0.4999, 0.0001, 0.2513)
Mo (0.0001, 0.4999, 0.2513)
Mo (0.5001, 0.9999, 0.7487)
Mo (0.0000, 0.0000, 0.2520)
Mo (0.9999, 0.5001, 0.7487)
Mo (0.0000, 0.0000, 0.7480)
Ir (0.7142, 0.7142, 0.0001)
Ir (0.2858, 0.2858, 0.9999)
Os (0.2795, 0.7205, 0.5000)
Os (0.2778, 0.2778, 0.5001)
Os (0.2712, 0.7288, 0.0000)
Os (0.7222, 0.7222, 0.4999)
Os (0.7205, 0.2795, 0.5000)
Os (0.7288, 0.2712, 0.0000)

Computed properties:
**N(E_F)**: 0.847 states/eV per atom
**E_tot**: -146.28 eV per cell
**Calculated volume**: 15.828 Å³/atom
**ΔH_f (0 K)**: 272.0 meV/atom
**ρ**: 15.75 g/cm3
**Spin magnetization**: 0.000 Bohr magnetons per cell

=====

3.
The following is a DFT calculation (PBE) of crystalline MoIrOs at its relaxed geometry.

Unit cell a=2.7485 b=2.7485 c=6.8146 alpha=90.00 beta=90.00 gamma=120.00
Sites, in units of the cell vectors:
Ir (0.0000, 0.0000, 0.0011)
Mo (0.3333, 0.6667, 0.3355)
Os (0.6667, 0.3333, 0.6635)

Computed properties:
**N(E_F)**: 1.087 states/eV per atom
**E_tot**: -30.87 eV per cell
**Calculated volume**: 14.861 Å³/atom
**ΔH_f (0 K)**: 17.2 meV/atom
**Energy above the lowest structure with this stoichiometry**: 3.18 kcal/mol of atoms
**ρ**: 17.82 g/cm3
**Spin magnetization**: 0.000 Bohr magnetons per cell

=====

4.
The following is a DFT calculation (PBE) of crystalline Mo4IrOs at its relaxed geometry.

Unit cell a=5.1124 b=5.1124 c=5.1124 alpha=60.00 beta=60.00 gamma=60.00
Sites, in units of the cell vectors:
Mo (0.3748, 0.3748, 0.3748)
Mo (0.3748, 0.8757, 0.3748)
Mo (0.8757, 0.3748, 0.3748)
Mo (0.3748, 0.3748, 0.8757)
Ir (0.0000, 0.0000, 0.0000)
Os (0.7500, 0.7500, 0.7500)

Computed properties:
**N(E_F)**: 0.783 states/eV per atom
**E_tot**: -61.66 eV per cell
**Calculated volume**: 15.747 Å³/atom
**ΔH_f (0 K)**: 291.9 meV/atom
**ρ**: 13.47 g/cm3
**Spin magnetization**: 0.000 Bohr magnetons per cell

=====

5.
The following is a DFT calculation (PBE) of crystalline MoIrOs at its relaxed geometry.

Unit cell a=4.2033 b=4.2033 c=4.2033 alpha=60.00 beta=60.00 gamma=60.00
Sites, in units of the cell vectors:
Mo (0.7500, 0.7500, 0.7500)
Ir (0.5000, 0.5000, 0.5000)
Os (0.0000, 0.0000, 0.0000)

Computed properties:
**N(E_F)**: 0.704 states/eV per atom
**E_tot**: -29.60 eV per cell
**Calculated volume**: 17.504 Å³/atom
**ΔH_f (0 K)**: 441.5 meV/atom
**Energy above the lowest structure with this stoichiometry**: 12.97 kcal/mol of atoms
**ρ**: 15.13 g/cm3
**Spin magnetization**: 0.000 Bohr magnetons per cell

=====

6.
The following is a DFT calculation (PBE) of crystalline MoIrOs at its relaxed geometry.

Unit cell a=6.1624 b=6.1624 c=3.8990 alpha=90.00 beta=90.00 gamma=142.99
Sites, in units of the cell vectors:
Ir (0.5830, 0.4170, 0.7500)
Ir (0.4170, 0.5830, 0.2500)
Os (0.2486, 0.7514, 0.7500)
Os (0.7514, 0.2486, 0.2500)
Mo (0.0887, 0.9113, 0.2500)
Mo (0.9113, 0.0887, 0.7500)

Computed properties:
**N(E_F)**: 0.982 states/eV per atom
**E_tot**: -62.48 eV per cell
**Calculated volume**: 14.855 Å³/atom
**ΔH_f (0 K)**: -105.8 meV/atom
**Energy above the lowest structure with this stoichiometry**: 0.35 kcal/mol of atoms
**ρ**: 17.82 g/cm3
**Spin magnetization**: 0.000 Bohr magnetons per cell